First-principles (PBE) data for crystalline Na2Se2N at its relaxed geometry, as listed in Alexandria.

Cell: 5.392 5.392 5.392 Å, 114.37 114.37 100.06°
Fractional positions:
Na 0.250 0.750 0.500
Na 0.750 0.250 0.500
Se 0.211 0.211 0.000
Se 0.789 0.789 0.000
N 0.500 0.500 0.000

The value obtained for the final energy is -17.3 eV per cell. The energy above the most stable polymorph in this dataset comes out at 0.0 meV per atom. Its formation energy from raw total energies is 0.636 eV per formula unit. The theoretical density comes out at 3.058 g cm⁻³.